No. 1
Below is an optimized crystal structure of Li2FeF5, with properties calculated at the PBE with a Hubbard U level.

Summary:
The size of the total moment is 5.00 μB/f.u. Its total energy is -5.069 eV per atom. The calculated density comes out at 3.10 g/cm3.

Cell: 5.145 5.699 7.212 Å, 108.88 90.24 116.34°
Space group P-1 (No. 2)
One atom of each set of equivalent atoms:
Li  0.000  0.000  0.000
Li  0.000  0.000  0.500
Li  0.350  0.715  0.283
Fe  0.375  0.753  0.775
F  0.007  0.366  0.151
F  0.222  0.024  0.254
F  0.248  0.817  0.553
F  0.350  0.393  0.665
F  0.432  0.163  0.947


No. 2
Below is an optimized crystal structure of LiFe3F, with properties calculated at the PBE with a Hubbard U level.

Summary:
The size of the total moment is 10.11 μB/f.u. Its total energy is -3.612 eV per atom. The calculated density comes out at 3.95 g/cm3.

Cell: 4.332 4.332 4.332 Å, 90.00 90.00 90.00°
Space group Pm-3m (No. 221)
One atom of each set of equivalent atoms:
Li  0.000  0.000  0.000
Fe  0.000  0.500  0.500
F  0.500  0.500  0.500


No. 3
Below is an optimized crystal structure of LiFeF5, with properties calculated at the PBE with a Hubbard U level.

Summary:
The size of the total moment is 3.98 μB/f.u. Its total energy is -4.649 eV per atom. The calculated density comes out at 3.04 g/cm3.

Cell: 8.580 5.942 7.663 Å, 90.00 118.01 90.00°
Space group C2/c (No. 15)
One atom of each set of equivalent atoms:
Li  0.000  0.027  0.250
Fe  0.000  0.500  0.000
F  0.000  0.384  0.250
F  0.034  0.210  0.954
F  0.234  0.457  0.635


No. 4
Below is an optimized crystal structure of Li2FeF5, with properties calculated at the PBE with a Hubbard U level.

Summary:
The size of the total moment is 5.00 μB/f.u. Its total energy is -5.067 eV per atom. The calculated density comes out at 2.78 g/cm3.

Cell: 3.878 10.037 10.110 Å, 90.00 90.00 90.00°
Space group Cmcm (No. 63)
One atom of each set of equivalent atoms:
Li  0.000  0.131  0.059
Fe  0.000  0.189  0.750
F  0.000  0.052  0.619
F  0.000  0.275  0.250
F  0.000  0.312  0.597


Question: Which formula does entry 3 have?
Answer: LiFeF5


Question: Which of these has the highest size of the total moment?
Answer: LiFe3F